w:
Computed, not measured: a relaxed structure of Ag2HgO2 at the PBE level of DFT.

Lattice parameters (Å, degrees): 6.0851 6.0851 6.0851 116.58 116.58 96.03
Last column: nearest neighbours and their distance in Å.
Atoms (fractional coordinates):
Ag: 0.2268 0.0000 0.2268  3 O 2.18-2.28
Ag: 0.7500 0.0232 0.2732  3 O 2.18-2.28
Ag: 0.7500 0.4768 0.7268  3 O 2.18-2.28
Ag: 0.7732 0.0000 0.7732  3 O 2.18-2.28
Hg: 0.0552 0.5552 0.5000  2 O 2.26
Hg: 0.3052 0.3052 0.0000  2 O 2.26
O: 0.4820 0.2100 0.7280  3 Ag 2.18-2.28, 1 Hg 2.26
O: 0.4820 0.7540 0.2720  3 Ag 2.18-2.28, 1 Hg 2.26
O: 0.5040 0.7320 0.7720  3 Ag 2.18-2.28, 1 Hg 2.26
O: 0.9600 0.7320 0.2280  3 Ag 2.18-2.28, 1 Hg 2.26

SG: I4_1md, No. 109
Total magnetization: 0.241 μB/atom

***

x:
Computed, not measured: a relaxed structure of Ag2HgO2 at the PBE level of DFT.

Lattice parameters (Å, degrees): 6.3995 6.3995 8.4550 90.00 90.00 90.00
Last column: nearest neighbours and their distance in Å.
Atoms (fractional coordinates):
Ag: 0.0009 0.2453 0.1226  2 O 2.13-2.14
Ag: 0.2453 0.0009 0.8774  2 O 2.13-2.14
Ag: 0.2547 0.5009 0.8726  2 O 2.13-2.14
Ag: 0.4991 0.7453 0.6274  2 O 2.13-2.14
Ag: 0.5009 0.2547 0.1274  2 O 2.13-2.14
Ag: 0.7453 0.4991 0.3726  2 O 2.13-2.14
Ag: 0.7547 0.9991 0.3774  2 O 2.13-2.14
Ag: 0.9991 0.7547 0.6226  2 O 2.13-2.14
Hg: 0.2184 0.2184 0.5000  2 O 2.09
Hg: 0.2816 0.7184 0.2500  2 O 2.09
Hg: 0.7184 0.2816 0.7500  2 O 2.09
Hg: 0.7816 0.7816 0.0000  2 O 2.09
O: 0.1264 0.2518 0.7359  1 Hg 2.09, 2 Ag 2.13-2.14
O: 0.2482 0.6264 0.4859  1 Hg 2.09, 2 Ag 2.13-2.14
O: 0.2518 0.1264 0.2641  1 Hg 2.09, 2 Ag 2.13-2.14
O: 0.3736 0.7518 0.0141  1 Hg 2.09, 2 Ag 2.13-2.14
O: 0.6264 0.2482 0.5141  1 Hg 2.09, 2 Ag 2.13-2.14
O: 0.7482 0.8736 0.7641  1 Hg 2.09, 2 Ag 2.13-2.14
O: 0.7518 0.3736 0.9859  1 Hg 2.09, 2 Ag 2.13-2.14
O: 0.8736 0.7482 0.2359  1 Hg 2.09, 2 Ag 2.13-2.14

SG: P4_32_12, No. 96
Total magnetization: 0.000 μB/atom

***

y:
Computed, not measured: a relaxed structure of Ag2HgO2 at the PBE level of DFT.

Lattice parameters (Å, degrees): 6.6284 6.6284 6.6284 142.15 142.15 54.60
Last column: nearest neighbours and their distance in Å.
Atoms (fractional coordinates):
Ag: 0.2194 0.2194 0.0000  4 O 2.18
Ag: 0.7806 0.7806 0.0000  4 O 2.18
Hg: 0.5000 0.5000 0.0000  2 Ag 3.31, 8 O 3.65
O: 0.2500 0.7500 0.5000  4 Ag 2.18
O: 0.7500 0.2500 0.5000  4 Ag 2.18

SG: I4/mmm, No. 139
Total magnetization: 0.000 μB/atom

***

Of them, x has the highest stability.

***

w:
Computed, not measured: a relaxed structure of Ag2HgO at the PBE level of DFT.

Lattice parameters (Å, degrees): 5.6509 5.0069 9.8004 90.00 90.00 90.00
Last column: nearest neighbours and their distance in Å.
Atoms (fractional coordinates):
Ag: 0.0887 0.2183 0.0825  2 O 2.38-2.45
Ag: 0.0887 0.2817 0.4175  2 O 2.38-2.45
Ag: 0.4113 0.7183 0.4175  2 O 2.38-2.45
Ag: 0.4113 0.7817 0.0825  2 O 2.38-2.45
Ag: 0.5887 0.2183 0.9175  2 O 2.38-2.45
Ag: 0.5887 0.2817 0.5825  2 O 2.38-2.45
Ag: 0.9113 0.7183 0.5825  2 O 2.38-2.45
Ag: 0.9113 0.7817 0.9175  2 O 2.38-2.45
Hg: 0.0024 0.2500 0.7500  2 O 2.39
Hg: 0.4976 0.7500 0.7500  2 O 2.39
Hg: 0.5024 0.2500 0.2500  2 O 2.39
Hg: 0.9976 0.7500 0.2500  2 O 2.39
O: 0.2500 0.0000 0.5994  4 Ag 2.38-2.45, 2 Hg 2.39
O: 0.2500 0.5000 0.9006  4 Ag 2.38-2.45, 2 Hg 2.39
O: 0.7500 0.0000 0.4006  4 Ag 2.38-2.45, 2 Hg 2.39
O: 0.7500 0.5000 0.0994  4 Ag 2.38-2.45, 2 Hg 2.39

SG: Pnna, No. 52
Total magnetization: 0.000 μB/atom

***

x:
Computed, not measured: a relaxed structure of Ag2HgO at the PBE level of DFT.

Lattice parameters (Å, degrees): 7.4704 7.4704 7.4704 25.53 25.53 25.53
Last column: nearest neighbours and their distance in Å.
Atoms (fractional coordinates):
Ag: 0.2315 0.2315 0.2315  3 O 2.37
Ag: 0.7685 0.7685 0.7685  3 O 2.37
Hg: 0.0000 0.0000 0.0000  6 Ag 2.92
O: 0.5000 0.5000 0.5000  6 Ag 2.37

SG: R-3m, No. 166
Total magnetization: 0.004 μB/atom

***

Of them, w has the highest stability.

***

w:
Computed, not measured: a relaxed structure of Ag2HgO at the PBE level of DFT.

Lattice parameters (Å, degrees): 4.5666 4.5666 4.5666 60.00 60.00 60.00
Last column: nearest neighbours and their distance in Å.
Atoms (fractional coordinates):
Ag: 0.2500 0.2500 0.2500  4 Hg 2.80, 4 O 2.80
Ag: 0.7500 0.7500 0.7500  4 Hg 2.80, 4 O 2.80
Hg: 0.0000 0.0000 0.0000  8 Ag 2.80
O: 0.5000 0.5000 0.5000  8 Ag 2.80

SG: Fm-3m, No. 225
Total magnetization: 0.000 μB/atom

***

x:
Computed, not measured: a relaxed structure of Ag2HgO at the PBE level of DFT.

Lattice parameters (Å, degrees): 7.2551 7.2551 7.2551 132.00 132.00 70.23
Last column: nearest neighbours and their distance in Å.
Atoms (fractional coordinates):
Ag: 0.3750 0.1264 0.2514  2 O 2.09
Ag: 0.8736 0.1250 0.2486  2 O 2.09
Ag: 0.8750 0.1236 0.7486  2 O 2.09
Ag: 0.8764 0.6250 0.7514  2 O 2.09
Hg: 0.2500 0.7500 0.5000  8 Ag 3.61-3.62
Hg: 0.5000 0.5000 0.0000  8 Ag 3.61-3.62
O: 0.0000 0.0000 0.0000  4 Ag 2.09
O: 0.7500 0.2500 0.5000  4 Ag 2.09

SG: I-42d, No. 122
Total magnetization: 0.000 μB/atom

***

Of them, x has the highest stability.

***

w:
Computed, not measured: a relaxed structure of AgHgO at the PBE level of DFT.

Lattice parameters (Å, degrees): 3.3288 3.3288 5.0778 90.00 90.00 120.00
Last column: nearest neighbours and their distance in Å.
Atoms (fractional coordinates):
Ag: 0.0000 0.0000 0.0000  3 O 2.43
Hg: 0.6667 0.3333 0.5785  3 O 2.40
O: 0.3333 0.6667 0.2939  3 Hg 2.40, 3 Ag 2.43

SG: P3m1, No. 156
Total magnetization: 0.000 μB/atom

***

x:
Computed, not measured: a relaxed structure of AgHgO at the PBE level of DFT.

Lattice parameters (Å, degrees): 5.4217 5.4217 5.4217 147.47 147.47 46.67
Last column: nearest neighbours and their distance in Å.
Atoms (fractional coordinates):
Ag: 0.0000 0.0000 0.0000  4 O 2.61, 1 Hg 2.89
Hg: 0.2901 0.2901 0.0000  4 O 2.56
O: 0.6496 0.6496 0.0000  4 Hg 2.56, 4 Ag 2.61

SG: I4mm, No. 107
Total magnetization: 0.000 μB/atom

***

y:
Computed, not measured: a relaxed structure of AgHgO at the PBE level of DFT.

Lattice parameters (Å, degrees): 5.8659 5.8659 4.2473 99.48 99.48 57.43
Last column: nearest neighbours and their distance in Å.
Atoms (fractional coordinates):
Ag: 0.1272 0.1272 0.3779  2 O 2.14-2.16
Ag: 0.8728 0.8728 0.6221  2 O 2.14-2.16
Hg: 0.3706 0.3706 0.9635  1 O 2.15
Hg: 0.6294 0.6294 0.0365  1 O 2.15
O: 0.1577 0.1577 0.8895  2 Ag 2.14-2.16, 1 Hg 2.15
O: 0.8423 0.8423 0.1105  2 Ag 2.14-2.16, 1 Hg 2.15

SG: C2/m, No. 12
Total magnetization: 0.000 μB/atom

***

Of them, y has the highest stability.